(1)
## BaEr2Se4 (SCAN)

Data for BaEr2Se4 at its PBEsol-relaxed geometry.

Cell: 4.1191 12.5733 14.8953 Å, 90.00 90.00 90.00°
Last column: nearest neighbours and their distance in Å.
Element x y z (fractional)
Ba  0.7500  0.2595  0.1655  8 Se 3.27-3.44
Ba  0.2500  0.2405  0.6655  8 Se 3.27-3.44
Ba  0.2500  0.7405  0.8345  8 Se 3.27-3.44
Ba  0.7500  0.7595  0.3345  8 Se 3.27-3.44
Er  0.7500  0.4216  0.9005  6 Se 2.79-2.85
Er  0.2500  0.0784  0.4005  6 Se 2.79-2.85
Er  0.2500  0.5784  0.0995  6 Se 2.79-2.85
Er  0.7500  0.9216  0.5995  6 Se 2.79-2.85
Er  0.7500  0.9354  0.1079  6 Se 2.78-2.84
Er  0.2500  0.5646  0.6079  6 Se 2.78-2.84
Er  0.2500  0.0646  0.8921  6 Se 2.78-2.84
Er  0.7500  0.4354  0.3921  6 Se 2.78-2.84
Se  0.7500  0.4152  0.5776  3 Er 2.78-2.82
Se  0.2500  0.0848  0.0776  3 Er 2.78-2.82
Se  0.2500  0.5848  0.4224  3 Er 2.78-2.82
Se  0.7500  0.9152  0.9224  3 Er 2.78-2.82
Se  0.7500  0.2067  0.8392  3 Er 2.84-2.85
Se  0.2500  0.2933  0.3392  3 Er 2.84-2.85
Se  0.2500  0.7933  0.1608  3 Er 2.84-2.85
Se  0.7500  0.7067  0.6608  3 Er 2.84-2.85
Se  0.7500  0.1264  0.5246  3 Er 2.81-2.83
Se  0.2500  0.3736  0.0246  3 Er 2.81-2.83
Se  0.2500  0.8736  0.4754  3 Er 2.81-2.83
Se  0.7500  0.6264  0.9754  3 Er 2.81-2.83
Se  0.7500  0.0239  0.2829  3 Er 2.79-2.83
Se  0.2500  0.4761  0.7829  3 Er 2.79-2.83
Se  0.2500  0.9761  0.7171  3 Er 2.79-2.83
Se  0.7500  0.5239  0.2171  3 Er 2.79-2.83

Values from the calculation:
* magnetization: 0.00 μB per atom
* raw formation energy: -214.4 kJ per mole of atoms

(2)
## BaEr2Te4 (SCAN)

Data for BaEr2Te4 at its PBEsol-relaxed geometry.

Cell: 4.3842 13.5114 15.9538 Å, 90.00 90.00 90.00°
Last column: nearest neighbours and their distance in Å.
Element x y z (fractional)
Ba  0.7500  0.2619  0.1707  8 Te 3.49-3.66
Ba  0.2500  0.2381  0.6707  8 Te 3.49-3.66
Ba  0.2500  0.7381  0.8293  8 Te 3.49-3.66
Ba  0.7500  0.7619  0.3293  8 Te 3.49-3.66
Er  0.7500  0.4197  0.9040  6 Te 3.00-3.07
Er  0.2500  0.0803  0.4040  6 Te 3.00-3.07
Er  0.2500  0.5803  0.0960  6 Te 3.00-3.07
Er  0.7500  0.9197  0.5960  6 Te 3.00-3.07
Er  0.7500  0.9413  0.1091  6 Te 2.99-3.05
Er  0.2500  0.5587  0.6091  6 Te 2.99-3.05
Er  0.2500  0.0587  0.8909  6 Te 2.99-3.05
Er  0.7500  0.4413  0.3909  6 Te 2.99-3.05
Te  0.7500  0.4088  0.5766  3 Er 2.99-3.03
Te  0.2500  0.0912  0.0766  3 Er 2.99-3.03
Te  0.2500  0.5912  0.4234  3 Er 2.99-3.03
Te  0.7500  0.9088  0.9234  3 Er 2.99-3.03
Te  0.7500  0.2049  0.8417  3 Er 3.05-3.07
Te  0.2500  0.2951  0.3417  3 Er 3.05-3.07
Te  0.2500  0.7951  0.1583  3 Er 3.05-3.07
Te  0.7500  0.7049  0.6583  3 Er 3.05-3.07
Te  0.7500  0.1282  0.5284  3 Er 3.02-3.03
Te  0.2500  0.3718  0.0284  3 Er 3.02-3.03
Te  0.2500  0.8718  0.4716  3 Er 3.02-3.03
Te  0.7500  0.6282  0.9716  3 Er 3.02-3.03
Te  0.7500  0.0272  0.2838  3 Er 3.00-3.02
Te  0.2500  0.4728  0.7838  3 Er 3.00-3.02
Te  0.2500  0.9728  0.7162  3 Er 3.00-3.02
Te  0.7500  0.5272  0.2162  3 Er 3.00-3.02

Values from the calculation:
* magnetization: 0.00 μB per atom
* raw formation energy: -163.2 kJ per mole of atoms

(3)
## Ba3Eu (SCAN)

Data for Ba3Eu at its PBEsol-relaxed geometry.

Cell: 6.7110 6.7110 6.7110 Å, 60.00 60.00 60.00°
Last column: nearest neighbours and their distance in Å.
Element x y z (fractional)
Eu  0.0000  0.0000  0.0000  8 Ba 4.11
Ba  0.2500  0.2500  0.2500  4 Ba 4.11, 4 Eu 4.11
Ba  0.7500  0.7500  0.7500  4 Ba 4.11, 4 Eu 4.11
Ba  0.5000  0.5000  0.5000  8 Ba 4.11

Values from the calculation:
* magnetization: 1.91 μB per atom
* ΔH_f (0 K): 54 meV/atom

(4)
## BaEu3 (SCAN)

Data for BaEu3 at its PBEsol-relaxed geometry.

Cell: 5.5451 5.5451 5.5451 Å, 90.00 90.00 90.00°
Last column: nearest neighbours and their distance in Å.
Element x y z (fractional)
Ba  0.0000  0.0000  0.0000  12 Eu 3.92
Eu  0.0000  0.5000  0.5000  4 Ba 3.92, 8 Eu 3.92
Eu  0.5000  0.0000  0.5000  8 Eu 3.92, 4 Ba 3.92
Eu  0.5000  0.5000  0.0000  8 Eu 3.92, 4 Ba 3.92

Values from the calculation:
* magnetization: 6.05 μB per atom
* ΔH_f (0 K): 76 meV/atom

(5)
## Ba2EuNbO6 (SCAN)

Data for Ba2EuNbO6 at its PBEsol-relaxed geometry.

Cell: 6.0346 6.0346 6.0346 Å, 60.00 60.00 60.00°
Last column: nearest neighbours and their distance in Å.
Element x y z (fractional)
Eu  0.0000  0.0000  0.0000  6 O 2.26
Nb  0.5000  0.5000  0.5000  6 O 2.00
Ba  0.7500  0.7500  0.7500  12 O 3.02
Ba  0.2500  0.2500  0.2500  12 O 3.02
O  0.2651  0.7349  0.2651  1 Nb 2.00
O  0.2651  0.2651  0.7349  1 Nb 2.00
O  0.7349  0.7349  0.2651  1 Nb 2.00
O  0.2651  0.7349  0.7349  1 Nb 2.00
O  0.7349  0.2651  0.7349  1 Nb 2.00
O  0.7349  0.2651  0.2651  1 Nb 2.00

Values from the calculation:
* magnetization: 0.60 μB per atom
* raw formation energy: -295.9 kJ per mole of atoms

(6)
## BaEu2NiO5 (SCAN)

Data for BaEu2NiO5 at its PBEsol-relaxed geometry.

Cell: 3.8083 5.7869 6.5818 Å, 116.08 106.82 90.00°
Last column: nearest neighbours and their distance in Å.
Element x y z (fractional)
Ba  0.0000  0.5000  0.0000  10 O 2.88-2.89
Eu  0.7938  0.7938  0.5875  7 O 2.31-2.47
Eu  0.2062  0.2062  0.4125  7 O 2.31-2.47
Ni  0.5000  0.0000  0.0000  6 O 1.90-2.04
O  0.0000  0.0000  0.0000  2 Ni 1.90
O  0.3645  0.0989  0.7290  1 Ni 2.04
O  0.6355  0.9011  0.2710  1 Ni 2.04
O  0.6355  0.3700  0.2710  1 Ni 2.04
O  0.3645  0.6300  0.7290  1 Ni 2.04

Values from the calculation:
* magnetization: 1.56 μB per atom
* raw formation energy: -254.2 kJ per mole of atoms

(7)
## BaEuO2 (SCAN)

Data for BaEuO2 at its PBEsol-relaxed geometry.

Cell: 3.6619 3.6619 6.5016 Å, 73.64 73.64 60.00°
Last column: nearest neighbours and their distance in Å.
Element x y z (fractional)
Eu  0.5000  0.5000  0.5000  6 O 2.49
Ba  0.0000  0.0000  0.0000  6 O 2.75
O  0.2380  0.2380  0.2859  3 Eu 2.49, 3 Ba 2.75
O  0.7620  0.7620  0.7141  3 Eu 2.49, 3 Ba 2.75

Values from the calculation:
* magnetization: 1.72 μB per atom
* raw formation energy: -274.7 kJ per mole of atoms

(8)
## Ba3EuRu2O9 (SCAN)

Data for Ba3EuRu2O9 at its PBEsol-relaxed geometry.

Cell: 5.8976 5.8976 14.4881 Å, 90.00 90.00 120.00°
Last column: nearest neighbours and their distance in Å.
Element x y z (fractional)
Ba  0.3333  0.6667  0.5984  12 O 2.83-3.17
Ba  0.6667  0.3333  0.0984  12 O 2.83-3.17
Ba  0.3333  0.6667  0.9016  12 O 2.83-3.17
Ba  0.0000  0.0000  0.7500  12 O 2.94-2.95
Ba  0.6667  0.3333  0.4016  12 O 2.83-3.17
Ba  0.0000  0.0000  0.2500  12 O 2.94-2.95
Eu  0.0000  0.0000  0.5000  6 O 2.25
Eu  0.0000  0.0000  0.0000  6 O 2.25
Ru  0.6667  0.3333  0.8344  6 O 1.91-2.03
Ru  0.6667  0.3333  0.6656  6 O 1.91-2.03
Ru  0.3333  0.6667  0.3344  6 O 1.91-2.03
Ru  0.3333  0.6667  0.1656  6 O 1.91-2.03
O  0.6425  0.8212  0.4087  1 Ru 1.91
O  0.1788  0.8212  0.0913  1 Ru 1.91
O  0.1788  0.3575  0.0913  1 Ru 1.91
O  0.0165  0.5082  0.2500  2 Ru 2.03
O  0.8212  0.6425  0.9087  1 Ru 1.91
O  0.4918  0.5082  0.2500  2 Ru 2.03
O  0.8212  0.1788  0.5913  1 Ru 1.91
O  0.5082  0.4918  0.7500  2 Ru 2.03
O  0.6425  0.8212  0.0913  1 Ru 1.91
O  0.9835  0.4918  0.7500  2 Ru 2.03
O  0.5082  0.0165  0.7500  2 Ru 2.03
O  0.3575  0.1788  0.5913  1 Ru 1.91
O  0.3575  0.1788  0.9087  1 Ru 1.91
O  0.4918  0.9835  0.2500  2 Ru 2.03
O  0.8212  0.1788  0.9087  1 Ru 1.91
O  0.1788  0.3575  0.4087  1 Ru 1.91
O  0.1788  0.8212  0.4087  1 Ru 1.91
O  0.8212  0.6425  0.5913  1 Ru 1.91

Values from the calculation:
* magnetization: 0.20 μB per atom
* raw formation energy: -228.2 kJ per mole of atoms

(9)
## Ba2EuTaO6 (SCAN)

Data for Ba2EuTaO6 at its PBEsol-relaxed geometry.

Cell: 5.9806 6.0215 5.9806 Å, 60.22 90.00 119.78°
Last column: nearest neighbours and their distance in Å.
Element x y z (fractional)
Eu  0.0000  0.0000  0.0000  6 O 2.29
Ba  0.7500  0.5000  0.7500  8 O 2.79-2.99
Ba  0.2500  0.5000  0.2500  8 O 2.79-2.99
O  0.6922  0.0000  0.7729  1 Ta 2.00
O  0.7729  0.0000  0.3078  1 Ta 2.00
O  0.2271  0.0000  0.6922  1 Ta 2.00
O  0.3078  0.0000  0.2271  1 Ta 2.00
O  0.2668  0.5336  0.7332  1 Ta 2.00
O  0.7332  0.4664  0.2668  1 Ta 2.00
Ta  0.5000  0.0000  0.5000  6 O 2.00

Values from the calculation:
* magnetization: 0.60 μB per atom
* raw formation energy: -308.5 kJ per mole of atoms

(10)
## BaEuS2 (SCAN)

Data for BaEuS2 at its PBEsol-relaxed geometry.

Cell: 4.3132 4.3132 6.1013 Å, 90.00 90.00 90.00°
Last column: nearest neighbours and their distance in Å.
Element x y z (fractional)
Eu  0.5000  0.5000  0.5000  6 S 3.05
S  0.0000  0.0000  0.5000  4 Eu 3.05, 2 Ba 3.05
S  0.5000  0.5000  0.0000  4 Ba 3.05, 2 Eu 3.05
Ba  0.0000  0.0000  0.0000  6 S 3.05

Values from the calculation:
* magnetization: 1.75 μB per atom
* raw formation energy: -222.0 kJ per mole of atoms

(11)
## BaSrEu2 (SCAN)

Data for BaSrEu2 at its PBEsol-relaxed geometry.

Cell: 6.4166 6.4166 6.4166 Å, 60.00 60.00 60.00°
Last column: nearest neighbours and their distance in Å.
Element x y z (fractional)
Ba  0.5000  0.5000  0.5000  8 Eu 3.93
Sr  0.0000  0.0000  0.0000  8 Eu 3.93
Eu  0.2500  0.2500  0.2500  4 Ba 3.93, 4 Sr 3.93
Eu  0.7500  0.7500  0.7500  4 Ba 3.93, 4 Sr 3.93

Values from the calculation:
* magnetization: 3.86 μB per atom
* ΔH_f (0 K): 80 meV/atom

(12)
## BaF3 (SCAN)

Data for BaF3 at its PBEsol-relaxed geometry.

Cell: 4.4378 4.6906 6.3159 Å, 90.20 90.00 90.00°
Last column: nearest neighbours and their distance in Å.
Element x y z (fractional)
Ba  0.7500  0.2491  0.2817  10 F 2.63-2.81
Ba  0.2500  0.7509  0.7183  10 F 2.63-2.81
F  0.7500  0.7499  0.4702  4 Ba 2.63-2.72, 2 F 2.85
F  0.2500  0.2501  0.5298  4 Ba 2.63-2.72, 2 F 2.85
F  0.7500  0.0472  0.8642  1 F 1.94
F  0.2500  0.9528  0.1358  1 F 1.94
F  0.7500  0.4601  0.8658  1 F 1.94
F  0.2500  0.5399  0.1342  1 F 1.94

Values from the calculation:
* magnetization: 0.26 μB per atom
* raw formation energy: -297.3 kJ per mole of atoms

(13)
## BaF3 (SCAN)

Data for BaF3 at its PBEsol-relaxed geometry.

Cell: 4.1754 4.5191 4.1754 Å, 117.51 90.00 117.51°
Last column: nearest neighbours and their distance in Å.
Element x y z (fractional)
Ba  0.0000  0.0000  0.0000  12 F 2.70-2.95
F  0.2500  0.5000  0.7500  4 Ba 2.70, 8 F 2.70-2.95
F  0.7500  0.5000  0.2500  4 Ba 2.70, 8 F 2.70-2.95
F  0.5000  0.0000  0.5000  8 F 2.70, 4 Ba 2.95

Values from the calculation:
* magnetization: 0.25 μB per atom
* raw formation energy: -290.0 kJ per mole of atoms

(14)
## BaFe2P2O7F2 (SCAN)

Data for BaFe2P2O7F2 at its PBEsol-relaxed geometry.

Cell: 4.5659 6.8469 11.7696 Å, 90.00 90.00 90.00°
Last column: nearest neighbours and their distance in Å.
Element x y z (fractional)
Ba  0.3897  0.0000  0.5000  4 O 2.70, 4 F 2.71-2.86
Ba  0.6103  0.5000  0.0000  4 O 2.70, 4 F 2.71-2.86
Fe  0.0000  0.2500  0.2500  4 O 2.00-2.12
Fe  0.0000  0.2500  0.7500  4 O 2.00-2.12
Fe  0.0000  0.7500  0.2500  4 O 2.00-2.12
Fe  0.0000  0.7500  0.7500  4 O 2.00-2.12
P  0.5120  0.0000  0.1255  4 O 1.52-1.62
P  0.4880  0.5000  0.6255  4 O 1.52-1.62
P  0.4880  0.5000  0.3745  4 O 1.52-1.62
P  0.5120  0.0000  0.8745  4 O 1.52-1.62
O  0.6330  0.5000  0.5000  2 P 1.62
O  0.3670  0.0000  0.0000  2 P 1.62
O  0.7534  0.5000  0.7044  1 P 1.53
O  0.2466  0.0000  0.7956  1 P 1.53
O  0.2466  0.0000  0.2044  1 P 1.53
O  0.7534  0.5000  0.2956  1 P 1.53
O  0.3063  0.6862  0.6347  1 P 1.52
O  0.6937  0.8138  0.1347  1 P 1.52
O  0.3063  0.3138  0.3653  1 P 1.52
O  0.6937  0.8138  0.8653  1 P 1.52
O  0.6937  0.1862  0.1347  1 P 1.52
O  0.6937  0.1862  0.8653  1 P 1.52
O  0.3063  0.3138  0.6347  1 P 1.52
O  0.3063  0.6862  0.3653  1 P 1.52
F  0.1302  0.5000  0.1359  2 Fe 2.26
F  0.1302  0.5000  0.8641  2 Fe 2.26
F  0.8698  0.0000  0.3641  2 Fe 2.26
F  0.8698  0.0000  0.6359  2 Fe 2.26

Values from the calculation:
* magnetization: 0.57 μB per atom
* raw formation energy: -248.7 kJ per mole of atoms

(15)
## BaGaOF2 (SCAN)

Data for BaGaOF2 at its PBEsol-relaxed geometry.

Cell: 4.0500 4.3598 4.3598 Å, 90.00 90.00 90.00°
Last column: nearest neighbours and their distance in Å.
Element x y z (fractional)
O  0.5000  0.0000  0.0000  2 Ga 2.02
Ba  0.5000  0.5000  0.5000  8 F 2.98, 4 O 3.08
Ga  0.0000  0.0000  0.0000  2 O 2.02, 4 F 2.18
F  0.0000  0.0000  0.5000  2 Ga 2.18
F  0.0000  0.5000  0.0000  2 Ga 2.18

Values from the calculation:
* magnetization: 0.00 μB per atom
* raw formation energy: -253.0 kJ per mole of atoms

(16)
## BaGaSbF2 (SCAN)

Data for BaGaSbF2 at its PBEsol-relaxed geometry.

Cell: 4.7133 4.7133 9.0802 Å, 90.00 90.00 90.00°
Last column: nearest neighbours and their distance in Å.
Element x y z (fractional)
Sb  0.5000  0.5000  0.5000  4 Ga 3.33
Ba  0.0000  0.0000  0.0000  4 F 2.36
Ga  0.0000  0.0000  0.5000  4 Sb 3.33
F  0.0000  0.5000  0.0000  2 Ba 2.36
F  0.5000  0.0000  0.0000  2 Ba 2.36

Values from the calculation:
* magnetization: 0.16 μB per atom
* raw formation energy: -149.5 kJ per mole of atoms

(17)
## BaGaSi2F (SCAN)

Data for BaGaSi2F at its PBEsol-relaxed geometry.

Cell: 4.6674 4.6674 4.8482 Å, 90.00 90.00 90.00°
Last column: nearest neighbours and their distance in Å.
Element x y z (fractional)
Si  0.0000  0.5000  0.0000  2 F 2.33
Si  0.5000  0.0000  0.0000  2 F 2.33
Ba  0.5000  0.5000  0.5000  4 Ga 3.30, 8 Si 3.36
Ga  0.0000  0.0000  0.5000  2 F 2.42
F  0.0000  0.0000  0.0000  4 Si 2.33, 2 Ga 2.42

Values from the calculation:
* magnetization: 0.00 μB per atom
* raw formation energy: -9.7 kJ per mole of atoms

(18)
## Ba2SrGaF (SCAN)

Data for Ba2SrGaF at its PBEsol-relaxed geometry.

Cell: 5.1143 5.4582 5.4582 Å, 90.00 90.00 90.00°
Last column: nearest neighbours and their distance in Å.
Element x y z (fractional)
Sr  0.5000  0.0000  0.0000  2 F 2.56
Ba  0.0000  0.0000  0.5000  2 F 2.73
Ba  0.0000  0.5000  0.0000  2 F 2.73
Ga  0.5000  0.5000  0.5000  8 Ba 3.74, 4 Sr 3.86
F  0.0000  0.0000  0.0000  2 Sr 2.56, 4 Ba 2.73

Values from the calculation:
* magnetization: 0.03 μB per atom
* raw formation energy: -119.3 kJ per mole of atoms

(19)
## BaGeN2F (SCAN)

Data for BaGeN2F at its PBEsol-relaxed geometry.

Cell: 3.8261 3.8261 4.5946 Å, 90.00 90.00 90.00°
Last column: nearest neighbours and their distance in Å.
Element x y z (fractional)
Ge  0.0000  0.0000  0.0000  4 N 1.91
N  0.0000  0.5000  0.0000  2 Ge 1.91
N  0.5000  0.0000  0.0000  2 Ge 1.91
Ba  0.5000  0.5000  0.5000  4 F 2.71, 8 N 2.99
F  0.0000  0.0000  0.5000  2 Ge 2.30

Values from the calculation:
* magnetization: 0.08 μB per atom
* raw formation energy: -84.3 kJ per mole of atoms

(20)
## BaGeO2F (SCAN)

Data for BaGeO2F at its PBEsol-relaxed geometry.

Cell: 4.0518 4.0518 4.3022 Å, 90.00 90.00 90.00°
Last column: nearest neighbours and their distance in Å.
Element x y z (fractional)
Ge  0.0000  0.0000  0.0000  4 O 2.03, 2 F 2.15
Ba  0.5000  0.5000  0.5000  4 F 2.87, 8 O 2.95
O  0.0000  0.5000  0.0000  2 Ge 2.03
O  0.5000  0.0000  0.0000  2 Ge 2.03
F  0.0000  0.0000  0.5000  2 Ge 2.15

Values from the calculation:
* magnetization: 0.00 μB per atom
* raw formation energy: -226.0 kJ per mole of atoms